1.
Pm2MnCoGe6 | PBE | optimized geometry

CIF file:
```
data_Pm2MnCoGe6
_cell_length_a 7.392
_cell_length_b 7.392
_cell_length_c 9.813
_cell_angle_alpha 67.87
_cell_angle_beta 67.87
_cell_angle_gamma 60.00
_symmetry_space_group_name_H-M 'P 1'
_symmetry_Int_Tables_number 1
_symmetry_space_group_name_Hall 'P 1'
loop_
_atom_site_label
_atom_site_type_symbol
_atom_site_fract_x
_atom_site_fract_y
_atom_site_fract_z
Ge1 Ge 0.793 0.793 0.144
Ge2 Ge 0.132 0.609 0.649
Pm1 Pm 0.133 0.133 0.601
Ge3 Ge 0.793 0.270 0.144
Mn1 Mn 0.000 0.000 0.000
Mn2 Mn 0.500 0.500 0.500
Ge4 Ge 0.868 0.391 0.351
Pm2 Pm 0.710 0.710 0.869
Ge5 Ge 0.609 0.609 0.649
Ge6 Ge 0.730 0.207 0.856
Ge7 Ge 0.207 0.730 0.856
Pm3 Pm 0.867 0.867 0.399
Ge8 Ge 0.391 0.868 0.351
Ge9 Ge 0.270 0.793 0.144
Co1 Co 0.602 0.602 0.194
Ge10 Ge 0.207 0.207 0.856
Pm4 Pm 0.290 0.290 0.131
Co2 Co 0.398 0.398 0.806
Ge11 Ge 0.609 0.132 0.649
Ge12 Ge 0.391 0.391 0.351
```

Values from the calculation:
* total moment: 2.2 μB per formula unit
* energy of formation from the pure elements: -2.35 eV/f.u.
* symmetry: R-3m (166)
* raw total energy: -5.5835 eV/atom



2.
CoCu2W | PBE | optimized geometry

CIF file:
```
data_CoCu2W
_cell_length_a 6.722
_cell_length_b 6.722
_cell_length_c 5.329
_cell_angle_alpha 50.90
_cell_angle_beta 50.90
_cell_angle_gamma 90.00
_symmetry_space_group_name_H-M 'P 1'
_symmetry_Int_Tables_number 1
_symmetry_space_group_name_Hall 'P 1'
loop_
_atom_site_label
_atom_site_type_symbol
_atom_site_fract_x
_atom_site_fract_y
_atom_site_fract_z
W1 W 0.000 0.000 0.000
Cu1 Cu 0.145 0.625 0.250
Co1 Co 0.250 0.750 0.500
Cu2 Cu 0.875 0.855 0.750
W2 W 0.750 0.250 0.500
Cu3 Cu 0.375 0.395 0.750
Cu4 Cu 0.605 0.125 0.250
Co2 Co 0.500 0.500 0.000
```

Values from the calculation:
* total moment: 0.8 μB per formula unit
* energy of formation from the pure elements: 3.33 eV/f.u.
* ΔE to the lowest computed polymorph: 0.646 eV/atom
* symmetry: I-42d (122)
* raw total energy: -6.2312 eV/atom



3.
LaPr2Sm6Mg | PBE | optimized geometry

CIF file:
```
data_LaPr2Sm6Mg
_cell_length_a 9.217
_cell_length_b 9.095
_cell_length_c 9.095
_cell_angle_alpha 117.49
_cell_angle_beta 90.56
_cell_angle_gamma 90.56
_symmetry_space_group_name_H-M 'P 1'
_symmetry_Int_Tables_number 1
_symmetry_space_group_name_Hall 'P 1'
loop_
_atom_site_label
_atom_site_type_symbol
_atom_site_fract_x
_atom_site_fract_y
_atom_site_fract_z
Sm1 Sm 0.595 0.500 0.731
Sm2 Sm 0.785 0.425 0.005
Sm3 Sm 0.905 0.269 0.500
Sm4 Sm 0.558 0.784 0.150
La1 La 0.750 0.025 0.975
Sm5 Sm 0.442 0.216 0.850
Sm6 Sm 0.058 0.150 0.784
Sm7 Sm 0.405 0.500 0.269
Sm8 Sm 0.215 0.575 0.995
Mg1 Mg 0.250 0.422 0.578
Sm9 Sm 0.715 0.995 0.575
Mg2 Mg 0.750 0.578 0.422
Sm10 Sm 0.942 0.850 0.216
Pr1 Pr 0.942 0.666 0.787
Pr2 Pr 0.442 0.787 0.666
Sm11 Sm 0.095 0.731 0.500
Sm12 Sm 0.285 0.005 0.425
Pr3 Pr 0.058 0.334 0.213
Pr4 Pr 0.558 0.213 0.334
La2 La 0.250 0.975 0.025
```

Values from the calculation:
* total moment: 0.0 μB per formula unit
* energy of formation from the pure elements: 1.07 eV/f.u.
* symmetry: C2/c (15)
* raw total energy: -4.3322 eV/atom